(1)
This record from Alexandria via LeMat-Bulk describes a relaxed structure of LiZn2Ir. The functional is GGA-PBEsol.

a = 2.9739 Å, b = 4.2138 Å, c = 4.2133 Å
α = 90.00°, β = 90.00°, γ = 90.00°
Fractional positions:
Zn 0.0000 0.0000 0.1251
Zn 0.0000 0.5000 0.6249
Ir 0.5000 0.0000 0.6251
Li 0.5000 0.5000 0.1248

Computed properties:
Calculated formation energy   -0.310 eV per atom
Distance to the lowest polymorph of the same formula   0.0087 eV/atom


(2)
This record from Alexandria via LeMat-Bulk describes a relaxed structure of Li2ZnIr. The functional is GGA-PBEsol.

a = 2.7051 Å, b = 4.4641 Å, c = 5.0876 Å
α = 114.95°, β = 103.76°, γ = 93.66°
Fractional positions:
Zn 0.5000 0.0000 0.0000
Ir 0.0000 0.5000 0.0000
Li 0.0000 0.0000 0.5000
Li 0.5000 0.5000 0.5000

Computed properties:
Calculated formation energy   -0.159 eV per atom


(3)
This record from Alexandria via LeMat-Bulk describes a relaxed structure of Li2ZnIr. The functional is GGA-PBEsol.

a = 2.5319 Å, b = 4.1149 Å, c = 5.2993 Å
α = 90.00°, β = 104.76°, γ = 90.00°
Fractional positions:
Zn 0.5549 0.0000 0.5125
Ir 0.2098 0.5000 0.7500
Li 0.8915 0.0000 0.9936
Li 0.8439 0.5000 0.2439

Computed properties:
Calculated formation energy   -0.147 eV per atom


(4)
This record from Alexandria via LeMat-Bulk describes a relaxed structure of Li2ZnIr. The functional is GGA-PBEsol.

a = 4.1846 Å, b = 4.1846 Å, c = 4.1846 Å
α = 60.00°, β = 60.00°, γ = 60.00°
Fractional positions:
Zn 0.5000 0.5000 0.5000
Ir 0.2500 0.2500 0.2500
Li 0.0000 0.0000 0.0000
Li 0.7500 0.7500 0.7500

Computed properties:
Calculated formation energy   -0.158 eV per atom


(5)
This record from Alexandria via LeMat-Bulk describes a relaxed structure of LiZnIr. The functional is GGA-PBEsol.

a = 2.5865 Å, b = 3.9535 Å, c = 4.5364 Å
α = 115.83°, β = 106.56°, γ = 90.00°
Fractional positions:
Zn 0.3386 0.3386 0.6772
Ir 0.9966 0.9966 0.9932
Li 0.6648 0.6648 0.3296

Computed properties:
Calculated formation energy   -0.143 eV per atom


(6)
This record from Alexandria via LeMat-Bulk describes a relaxed structure of Li2ZnIr. The functional is GGA-PBEsol.

a = 2.6184 Å, b = 2.6184 Å, c = 8.9733 Å
α = 90.00°, β = 90.00°, γ = 117.13°
Fractional positions:
Zn 0.5000 0.5000 0.5000
Ir 0.5000 0.5000 0.0000
Li 0.0000 0.0000 0.2374
Li 0.0000 0.0000 0.7626

Computed properties:
Calculated formation energy   -0.130 eV per atom


(7)
This record from Alexandria via LeMat-Bulk describes a relaxed structure of Li2ZnIr. The functional is GGA-PBEsol.

a = 3.6012 Å, b = 3.6012 Å, c = 3.9907 Å
α = 90.00°, β = 90.00°, γ = 90.00°
Fractional positions:
Zn 0.5000 0.5000 0.5000
Ir 0.0000 0.0000 0.5000
Li 0.0000 0.5000 0.0000
Li 0.5000 0.0000 0.0000

Computed properties:
Calculated formation energy   -0.145 eV per atom


(8)
This record from Alexandria via LeMat-Bulk describes a relaxed structure of Li2ZnIr. The functional is GGA-PBEsol.

a = 2.9633 Å, b = 4.1378 Å, c = 4.9535 Å
α = 114.69°, β = 107.40°, γ = 90.00°
Fractional positions:
Zn 0.5000 0.0000 0.0000
Ir 0.0000 0.5000 0.0000
Li 0.7508 0.7508 0.5015
Li 0.2492 0.2492 0.4985

Computed properties:
Calculated formation energy   -0.205 eV per atom


(9)
This record from Alexandria via LeMat-Bulk describes a relaxed structure of LiZn2Ir. The functional is GGA-PBEsol.

a = 4.2137 Å, b = 4.2146 Å, c = 4.2137 Å
α = 60.01°, β = 90.00°, γ = 119.99°
Fractional positions:
Zn 0.2500 0.5000 0.2500
Zn 0.7500 0.5000 0.7500
Ir 0.5000 0.0000 0.5000
Li 0.0000 0.0000 0.0000

Computed properties:
Calculated formation energy   -0.319 eV per atom
Distance to the lowest polymorph of the same formula   0.0000 eV/atom


(10)
This record from Alexandria via LeMat-Bulk describes a relaxed structure of LiZn2Ir. The functional is GGA-PBEsol.

a = 3.6166 Å, b = 3.6166 Å, c = 9.1311 Å
α = 101.42°, β = 101.42°, γ = 90.00°
Fractional positions:
Zn 0.3648 0.8750 0.2500
Zn 0.8852 0.3750 0.2500
Zn 0.1250 0.1148 0.7500
Zn 0.6250 0.6352 0.7500
Ir 0.2500 0.7500 0.5000
Ir 0.0000 0.0000 0.0000
Li 0.7500 0.2500 0.5000
Li 0.5000 0.5000 0.0000

Computed properties:
Calculated formation energy   0.207 eV per atom
Distance to the lowest polymorph of the same formula   0.5263 eV/atom


(11)
This record from Alexandria via LeMat-Bulk describes a relaxed structure of Li2ZnIr. The functional is GGA-PBEsol.

a = 2.6888 Å, b = 4.4191 Å, c = 4.4991 Å
α = 90.00°, β = 93.66°, γ = 90.00°
Fractional positions:
Zn 0.5000 0.5000 0.0000
Ir 0.0000 0.5000 0.5000
Li 0.7269 0.0000 0.7314
Li 0.2731 0.0000 0.2686

Computed properties:
Calculated formation energy   -0.158 eV per atom


(12)
This record from Alexandria via LeMat-Bulk describes a relaxed structure of LiZn2Ir. The functional is GGA-PBEsol.

a = 3.0136 Å, b = 4.1318 Å, c = 4.9262 Å
α = 114.76°, β = 107.81°, γ = 90.00°
Fractional positions:
Zn 0.0029 0.0028 0.0058
Zn 0.7484 0.2484 0.4968
Ir 0.4968 0.4968 0.9937
Li 0.2518 0.7518 0.5037

Computed properties:
Calculated formation energy   -0.235 eV per atom
Distance to the lowest polymorph of the same formula   0.0843 eV/atom